First-principles (GGA-PBE) data for crystalline TmZnO at its relaxed geometry, as listed in the Alexandria database.

It has space group P4/nmm (No. 129, origin choice 2), with a = 3.206 Å, b = 3.206 Å, c = 8.846 Å, α = 90.00°, β = 90.00° and γ = 90.00°. The inequivalent atoms are Tm at (0.250, 0.250, 0.159), Zn at (0.250, 0.250, 0.572) and O at (0.250, 0.250, 0.902).

For the raw total energy, the calculation gives -5.513 eV/atom. As for the total magnetic moment: 0.000 μB per atom. The crystal system is tetragonal. The formation energy without anion corrections comes out at -5.83 eV per formula unit.

***

First-principles (GGA-PBE) data for crystalline Tm3Zn5O12 at its relaxed geometry, as listed in the Alexandria database.

It has space group Ia-3d (No. 230), with a = 12.429 Å, b = 12.429 Å, c = 12.429 Å, α = 90.00°, β = 90.00° and γ = 90.00°. The inequivalent atoms are Tm at (0.000, 0.250, 0.125), Zn at (0.000, 0.000, 0.000), Zn at (0.000, 0.250, 0.375) and O at (0.022, 0.061, 0.652).

For the raw total energy, the calculation gives -5.825 eV/atom. As for the total magnetic moment: 0.106 μB per atom. The crystal system is cubic. The formation energy without anion corrections comes out at -37.22 eV per formula unit.

***

First-principles (GGA-PBE) data for crystalline Tm3ZnO6 at its relaxed geometry, as listed in the Alexandria database.

It has space group Cmc2_1 (No. 36), with a = 8.800 Å, b = 10.919 Å, c = 5.394 Å, α = 90.00°, β = 90.00° and γ = 90.00°. The inequivalent atoms are Tm at (0.000, 0.104, 0.000), Tm at (0.192, 0.392, 0.052), Zn at (0.000, 0.309, 0.575), O at (0.000, 0.282, 0.224), O at (0.000, 0.469, 0.759), O at (0.160, 0.018, 0.276) and O at (0.164, 0.234, 0.777).

For the raw total energy, the calculation gives -7.383 eV/atom. As for the total magnetic moment: 0.098 μB per atom. The crystal system is orthorhombic. The formation energy without anion corrections comes out at -29.39 eV per formula unit.

***

First-principles (GGA-PBE) data for crystalline Tm12Zn3O5 at its relaxed geometry, as listed in the Alexandria database.

It has space group Ia-3d (No. 230), with a = 15.032 Å, b = 15.032 Å, c = 15.032 Å, α = 90.00°, β = 90.00° and γ = 90.00°. The inequivalent atoms are Tm at (0.038, 0.053, 0.649), Zn at (0.000, 0.250, 0.125), O at (0.000, 0.000, 0.000) and O at (0.000, 0.250, 0.375).

For the raw total energy, the calculation gives -5.626 eV/atom. As for the total magnetic moment: 0.000 μB per atom. The crystal system is cubic. The formation energy without anion corrections comes out at -30.26 eV per formula unit.

***

Copy entry 4 word for word.
First-principles (GGA-PBE) data for crystalline Tm12Zn3O5 at its relaxed geometry, as listed in the Alexandria database.

It has space group Ia-3d (No. 230), with a = 15.032 Å, b = 15.032 Å, c = 15.032 Å, α = 90.00°, β = 90.00° and γ = 90.00°. The inequivalent atoms are Tm at (0.038, 0.053, 0.649), Zn at (0.000, 0.250, 0.125), O at (0.000, 0.000, 0.000) and O at (0.000, 0.250, 0.375).

For the raw total energy, the calculation gives -5.626 eV/atom. As for the total magnetic moment: 0.000 μB per atom. The crystal system is cubic. The formation energy without anion corrections comes out at -30.26 eV per formula unit.

***

> Which value of formation energy without anion corrections does entry 3 give?

-29.39 eV per formula unit

***

> Among the records above, which one has the highest formation energy without anion corrections?

TmZnO